# 1
5
Lattice="3.858 0.000 0.000 0.000 3.858 0.000 0.000 0.000 5.289" Properties=species:S:1:pos:R:3 comment="PBE BWSeN2, relaxed" formation_energy_uncorrected_ev_per_fu=5.42 total_magnetization_mub_per_atom=0.000 de_polymorph_mev_per_atom=0 pbc="T T T"
B 0.000 0.000 0.000
W 1.929 1.929 2.644
Se 1.929 1.929 0.000
N 0.000 1.929 2.644
N 1.929 0.000 2.644

=====

# 2
5
Lattice="4.486 0.000 0.000 0.000 4.486 0.000 0.000 0.000 5.719" Properties=species:S:1:pos:R:3 comment="PBE YBSeN2, relaxed" formation_energy_uncorrected_ev_per_fu=8.01 total_magnetization_mub_per_atom=0.793 de_polymorph_mev_per_atom=1001 pbc="T T T"
Y 0.000 0.000 0.000
B 2.243 2.243 2.860
Se 0.000 0.000 2.860
N 0.000 2.243 0.000
N 2.243 0.000 0.000

=====

# 3
5
Lattice="5.594 0.000 0.000 0.000 5.594 0.000 0.000 0.000 2.777" Properties=species:S:1:pos:R:3 comment="PBE YBSe2N, relaxed" formation_energy_uncorrected_ev_per_fu=-1.83 total_magnetization_mub_per_atom=0.000 de_polymorph_mev_per_atom=0 pbc="T T T"
Y 0.000 0.000 0.000
B 2.797 2.797 1.389
Se 0.000 2.797 1.389
Se 2.797 0.000 1.389
N 2.797 2.797 0.000

=====

# 4
5
Lattice="5.532 0.000 0.000 0.000 5.532 0.000 0.000 0.000 4.499" Properties=species:S:1:pos:R:3 comment="PBE YBSe2N, relaxed" formation_energy_uncorrected_ev_per_fu=5.33 total_magnetization_mub_per_atom=0.537 de_polymorph_mev_per_atom=1431 pbc="T T T"
Y 0.000 0.000 0.000
B 2.766 2.766 2.249
Se 0.000 2.766 0.000
Se 2.766 0.000 0.000
N 0.000 0.000 2.249